[1]
Computed, not measured: a PBEsol-optimized structure of CdSiPb2 at the meta-GGA SCAN level of DFT.

abc: 3.362 3.362 10.385
angles: 80.68 80.68 60.00
Sites, in units of the cell vectors:
Pb (0.757, 0.757, 0.729)
Pb (0.243, 0.243, 0.271)
Si (0.500, 0.500, 0.500)
Cd (0.000, 0.000, 0.000)

Density of states at the Fermi level: 1.57 states/eV/cell
Formation energy from raw total energies: 9.54 kcal/mol of atoms
Calculated volume: 24.972 Å³ per atom
Space group: R-3m (166)
Final energy: -47.585 eV/atom

---

[2]
Computed, not measured: a PBEsol-optimized structure of Cd2SiPb at the meta-GGA SCAN level of DFT.

abc: 4.488 4.488 5.455
angles: 114.29 114.29 90.00
Sites, in units of the cell vectors:
Cd (0.750, 0.250, 0.500)
Cd (0.250, 0.750, 0.500)
Si (0.000, 0.000, 0.000)
Pb (0.500, 0.500, 0.000)

Density of states at the Fermi level: 1.41 states/eV/cell
Formation energy from raw total energies: 9.10 kcal/mol of atoms
Calculated volume: 22.345 Å³ per atom
Energy above the lowest structure with this stoichiometry: 0.0828 eV/atom
Space group: I4/mmm (139)
Final energy: -36.262 eV/atom

---

[3]
Computed, not measured: a PBEsol-optimized structure of CdSi2Pb at the meta-GGA SCAN level of DFT.

abc: 3.368 3.899 7.423
angles: 90.00 119.04 90.00
Sites, in units of the cell vectors:
Si (0.191, 0.000, 0.191)
Si (0.809, 0.000, 0.809)
Pb (0.000, 0.500, 0.500)
Cd (0.500, 0.500, 0.000)

Density of states at the Fermi level: 1.43 states/eV/cell
Formation energy from raw total energies: 13.33 kcal/mol of atoms
Calculated volume: 21.306 Å³ per atom
Energy above the lowest structure with this stoichiometry: 0.0000 eV/atom
Space group: P2/m (10)
Final energy: -30.979 eV/atom

---

[4]
Computed, not measured: a PBEsol-optimized structure of CdSi2Pb at the meta-GGA SCAN level of DFT.

abc: 4.243 4.243 5.562
angles: 112.42 112.42 90.00
Sites, in units of the cell vectors:
Pb (0.250, 0.750, 0.500)
Cd (0.500, 0.500, 0.000)
Si (0.750, 0.250, 0.500)
Si (0.000, 0.000, 0.000)

Density of states at the Fermi level: 1.69 states/eV/cell
Formation energy from raw total energies: 16.24 kcal/mol of atoms
Calculated volume: 21.077 Å³ per atom
Energy above the lowest structure with this stoichiometry: 0.1264 eV/atom
Space group: I-4m2 (119)
Final energy: -30.853 eV/atom

---

[5]
Computed, not measured: a PBEsol-optimized structure of Cd2SiPb at the meta-GGA SCAN level of DFT.

abc: 3.479 4.269 6.896
angles: 108.03 104.61 90.00
Sites, in units of the cell vectors:
Si (0.252, 0.752, 0.504)
Cd (0.934, 0.934, 0.867)
Cd (0.758, 0.258, 0.516)
Pb (0.557, 0.557, 0.113)

Density of states at the Fermi level: 1.72 states/eV/cell
Formation energy from raw total energies: 7.19 kcal/mol of atoms
Calculated volume: 23.474 Å³ per atom
Energy above the lowest structure with this stoichiometry: 0.0000 eV/atom
Space group: Imm2 (44)
Final energy: -36.345 eV/atom

---

[6]
Computed, not measured: a PBEsol-optimized structure of Cd2SnPb2 at the meta-GGA SCAN level of DFT.

abc: 4.618 7.594 7.594
angles: 90.00 90.00 90.00
Sites, in units of the cell vectors:
Pb (0.500, 0.673, 0.827)
Pb (0.500, 0.327, 0.173)
Pb (0.500, 0.827, 0.327)
Pb (0.500, 0.173, 0.673)
Cd (0.000, 0.869, 0.631)
Cd (0.000, 0.131, 0.369)
Cd (0.000, 0.369, 0.869)
Cd (0.000, 0.631, 0.131)
Sn (0.000, 0.000, 0.000)
Sn (0.000, 0.500, 0.500)

Density of states at the Fermi level: 3.88 states/eV/cell
Calculated volume: 26.633 Å³ per atom
Space group: P4/mbm (127)
Calculated formation energy: 0.103 eV/atom
Final energy: -49.559 eV/atom